Below is a relaxed structure of SmGd2Ag, with properties calculated at the PBE-GGA level.

Results
E above lowest polymorph in meV per atom: 0
ΔH_f (0 K) in meV per atom: -126
Symmetry: P4/mmm (123)
Total magnetic moment in μB per formula unit: 15.0

Cell lengths 3.6431, 3.6431, 8.7809 Å; angles 90.00, 90.00, 90.00 degrees
Fractional coordinates of all 4 atoms:
1 Sm 0.0000 0.0000 0.0000
2 Gd 0.5000 0.5000 0.2878
3 Gd 0.5000 0.5000 0.7122
4 Ag 0.0000 0.0000 0.5000

---

Below is a relaxed structure of CaErIr2, with properties calculated at the PBE-GGA level.

Results
E above lowest polymorph in meV per atom: 0
ΔH_f (0 K) in meV per atom: -534
Symmetry: P4/mmm (123)
Total magnetic moment in μB per formula unit: 0.0

Cell lengths 3.3954, 3.3954, 6.8718 Å; angles 90.00, 90.00, 90.00 degrees
Fractional coordinates of all 4 atoms:
1 Ca 0.0000 0.0000 0.0000
2 Er 0.0000 0.0000 0.5000
3 Ir 0.5000 0.5000 0.2662
4 Ir 0.5000 0.5000 0.7338

---

Below is a relaxed structure of Ta2BiH, with properties calculated at the PBE-GGA level.

Results
E above lowest polymorph in meV per atom: 691
Symmetry: Fm-3m (225)
Total magnetic moment in μB per formula unit: 0.0

Cell lengths 6.5678, 6.5678, 6.5678 Å; angles 90.00, 90.00, 90.00 degrees
Fractional coordinates of all 16 atoms:
1 Ta 0.2500 0.2500 0.2500
2 Ta 0.2500 0.2500 0.7500
3 Ta 0.2500 0.7500 0.2500
4 Ta 0.2500 0.7500 0.7500
5 Ta 0.7500 0.2500 0.2500
6 Ta 0.7500 0.2500 0.7500
7 Ta 0.7500 0.7500 0.2500
8 Ta 0.7500 0.7500 0.7500
9 Bi 0.0000 0.0000 0.0000
10 Bi 0.0000 0.5000 0.5000
11 Bi 0.5000 0.0000 0.5000
12 Bi 0.5000 0.5000 0.0000
13 H 0.0000 0.0000 0.5000
14 H 0.0000 0.5000 0.0000
15 H 0.5000 0.0000 0.0000
16 H 0.5000 0.5000 0.5000

---

Below is a relaxed structure of CoRhAu2, with properties calculated at the PBE-GGA level.

Results
E above lowest polymorph in meV per atom: 145
ΔH_f (0 K) in meV per atom: 245
Symmetry: P2/m (10)
Total magnetic moment in μB per formula unit: 2.7

Cell lengths 2.8182, 3.9154, 5.6061 Å; angles 90.00, 90.12, 90.00 degrees
Fractional coordinates of all 4 atoms:
1 Co 0.0000 0.0000 0.0000
2 Rh 0.0000 0.0000 0.5000
3 Au 0.4998 0.5000 0.2439
4 Au 0.5002 0.5000 0.7561

---

Below is a relaxed structure of Nd8Te4PPt3, with properties calculated at the PBE-GGA level.

Results
Formation energy without anion corrections in eV per atom: -1.302
Symmetry: R-3m (166)
Total magnetic moment in μB per formula unit: 0.0

Cell lengths 8.9483, 8.9483, 8.9483 Å; angles 57.25, 57.25, 57.25 degrees
Fractional coordinates of all 16 atoms:
1 Nd 0.2377 0.2377 0.2377
2 Nd 0.2397 0.7388 0.7388
3 Nd 0.2612 0.2612 0.7603
4 Nd 0.2612 0.7603 0.2612
5 Nd 0.7388 0.2397 0.7388
6 Nd 0.7388 0.7388 0.2397
7 Nd 0.7603 0.2612 0.2612
8 Nd 0.7623 0.7623 0.7623
9 Te 0.0000 0.0000 0.0000
10 Te 0.0000 0.5000 0.5000
11 Te 0.5000 0.0000 0.5000
12 Te 0.5000 0.5000 0.0000
13 P 0.5000 0.5000 0.5000
14 Pt 0.0000 0.0000 0.5000
15 Pt 0.0000 0.5000 0.0000
16 Pt 0.5000 0.0000 0.0000

---

Below is a relaxed structure of SiAsRh, with properties calculated at the PBE-GGA level.

Results
Formation energy without anion corrections in eV per atom: -0.119
E above lowest polymorph in meV per atom: 349
Symmetry: I4mm (107)
Total magnetic moment in μB per formula unit: 0.0

Cell lengths 2.8746, 2.8746, 11.3713 Å; angles 90.00, 90.00, 90.00 degrees
Fractional coordinates of all 6 atoms:
1 Si 0.0000 0.0000 0.0000
2 Si 0.5000 0.5000 0.5000
3 As 0.0000 0.0000 0.7046
4 As 0.5000 0.5000 0.2046
5 Rh 0.0000 0.0000 0.3724
6 Rh 0.5000 0.5000 0.8724

---

Below is a relaxed structure of FeRhI2N, with properties calculated at the PBE-GGA level.

Results
Formation energy without anion corrections in eV per atom: 0.664
E above lowest polymorph in meV per atom: 0
Symmetry: P4/mmm (123)
Total magnetic moment in μB per formula unit: 0.4

Cell lengths 5.2567, 5.2567, 3.4195 Å; angles 90.00, 90.00, 90.00 degrees
Fractional coordinates of all 5 atoms:
1 Fe 0.0000 0.0000 0.0000
2 Rh 0.5000 0.5000 0.5000
3 I 0.0000 0.5000 0.0000
4 I 0.5000 0.0000 0.0000
5 N 0.0000 0.0000 0.5000

---

Below is a relaxed structure of Sr3TmGe2O9, with properties calculated at the PBE-GGA level.

Results
Formation energy without anion corrections in eV per atom: -2.439
Symmetry: P-3m1 (164)
Total magnetic moment in μB per formula unit: 0.0

Cell lengths 5.6496, 5.6496, 7.0094 Å; angles 90.00, 90.00, 120.00 degrees
Fractional coordinates of all 15 atoms:
1 Sr 0.0000 0.0000 0.0000
2 Sr 0.3333 0.6667 0.6870
3 Sr 0.6667 0.3333 0.3130
4 Tm 0.0000 0.0000 0.5000
5 Ge 0.3333 0.6667 0.1669
6 Ge 0.6667 0.3333 0.8331
7 O 0.0000 0.5000 0.0000
8 O 0.1754 0.3508 0.3132
9 O 0.1754 0.8246 0.3132
10 O 0.3508 0.1754 0.6868
11 O 0.5000 0.0000 0.0000
12 O 0.5000 0.5000 0.0000
13 O 0.6492 0.8246 0.3132
14 O 0.8246 0.1754 0.6868
15 O 0.8246 0.6492 0.6868

---

Below is a relaxed structure of La4Ho2Sc, with properties calculated at the PBE-GGA level.

Results
ΔH_f (0 K) in meV per atom: 59
Symmetry: P1 (1)
Total magnetic moment in μB per formula unit: 0.0

Cell lengths 6.5333, 6.7936, 12.4330 Å; angles 79.55, 74.80, 61.34 degrees
Fractional coordinates of all 14 atoms:
1 La 0.0000 0.0000 0.0000
2 La 0.0332 0.2481 0.2203
3 La 0.1675 0.9038 0.7246
4 La 0.2783 0.3773 0.6510
5 La 0.4788 0.4843 0.0865
6 La 0.5835 0.8553 0.1624
7 La 0.7708 0.8764 0.5640
8 La 0.9542 0.2971 0.4908
9 Ho 0.0683 0.4937 0.9361
10 Ho 0.4178 0.7346 0.4306
11 Ho 0.5757 0.9811 0.8685
12 Ho 0.6807 0.4568 0.7856
13 Sc 0.0183 0.7431 0.2975
14 Sc 0.5008 0.2373 0.3524

---

Below is a relaxed structure of ScSb2PbI, with properties calculated at the PBE-GGA level.

Results
Formation energy without anion corrections in eV per atom: -0.034
E above lowest polymorph in meV per atom: 0
Symmetry: P4/mmm (123)
Total magnetic moment in μB per formula unit: 0.0

Cell lengths 5.5749, 5.5749, 5.6321 Å; angles 90.00, 90.00, 90.00 degrees
Fractional coordinates of all 5 atoms:
1 Sc 0.0000 0.0000 0.0000
2 Sb 0.0000 0.5000 0.0000
3 Sb 0.5000 0.0000 0.0000
4 Pb 0.5000 0.5000 0.5000
5 I 0.0000 0.0000 0.5000

---

Below is a relaxed structure of GdPaIrAu, with properties calculated at the PBE-GGA level.

Results
ΔH_f (0 K) in meV per atom: -547
Symmetry: F-43m (216)
Total magnetic moment in μB per formula unit: 7.8

Cell lengths 7.0849, 7.0849, 7.0849 Å; angles 90.00, 90.00, 90.00 degrees
Fractional coordinates of all 16 atoms:
1 Gd 0.0000 0.0000 0.0000
2 Gd 0.0000 0.5000 0.5000
3 Gd 0.5000 0.0000 0.5000
4 Gd 0.5000 0.5000 0.0000
5 Pa 0.0000 0.0000 0.5000
6 Pa 0.0000 0.5000 0.0000
7 Pa 0.5000 0.0000 0.0000
8 Pa 0.5000 0.5000 0.5000
9 Ir 0.2500 0.2500 0.2500
10 Ir 0.2500 0.7500 0.7500
11 Ir 0.7500 0.2500 0.7500
12 Ir 0.7500 0.7500 0.2500
13 Au 0.2500 0.2500 0.7500
14 Au 0.2500 0.7500 0.2500
15 Au 0.7500 0.2500 0.2500
16 Au 0.7500 0.7500 0.7500

---

Below is a relaxed structure of Dy2ScPaN4, with properties calculated at the PBE-GGA level.

Results
Formation energy without anion corrections in eV per atom: -1.722
Symmetry: P2/m (10)
Total magnetic moment in μB per formula unit: 0.0

Cell lengths 5.8722, 3.4419, 5.9188 Å; angles 90.00, 108.94, 90.00 degrees
Fractional coordinates of all 8 atoms:
1 Dy 0.0000 0.0000 0.0000
2 Dy 0.5000 0.5000 0.0000
3 Sc 0.0000 0.5000 0.5000
4 Pa 0.5000 0.0000 0.5000
5 N 0.2476 0.0000 0.7320
6 N 0.2499 0.5000 0.2636
7 N 0.7501 0.5000 0.7364
8 N 0.7524 0.0000 0.2680

---

Below is a relaxed structure of PmPuCu2Se4, with properties calculated at the PBE-GGA level.

Results
Formation energy without anion corrections in eV per atom: -0.940
Symmetry: I222 (23)
Total magnetic moment in μB per formula unit: 5.2

Cell lengths 6.9150, 6.9217, 7.6631 Å; angles 90.00, 90.00, 90.00 degrees
Fractional coordinates of all 16 atoms:
1 Pm 0.0000 0.0000 0.0000
2 Pm 0.5000 0.5000 0.5000
3 Pu 0.0000 0.0000 0.5000
4 Pu 0.5000 0.5000 0.0000
5 Cu 0.0000 0.5000 0.1699
6 Cu 0.0000 0.5000 0.8301
7 Cu 0.5000 0.0000 0.3301
8 Cu 0.5000 0.0000 0.6699
9 Se 0.2383 0.2576 0.2177
10 Se 0.2383 0.7424 0.7823
11 Se 0.2617 0.2424 0.7177
12 Se 0.2617 0.7576 0.2823
13 Se 0.7383 0.2424 0.2823
14 Se 0.7383 0.7576 0.7177
15 Se 0.7617 0.2576 0.7823
16 Se 0.7617 0.7424 0.2177

---

Below is a relaxed structure of NaInBr3, with properties calculated at the PBE-GGA level.

Results
Formation energy without anion corrections in eV per atom: -1.077
Symmetry: P2_1/c (14)
Total magnetic moment in μB per formula unit: 0.0

Cell lengths 7.9622, 6.8144, 14.8347 Å; angles 90.00, 111.71, 90.00 degrees
Fractional coordinates of all 20 atoms:
1 Na 0.1872 0.0436 0.1645
2 Na 0.1872 0.4564 0.6645
3 Na 0.8128 0.5436 0.3355
4 Na 0.8128 0.9564 0.8355
5 In 0.3524 0.5766 0.4252
6 In 0.3524 0.9234 0.9252
7 In 0.6476 0.0766 0.0748
8 In 0.6476 0.4234 0.5748
9 Br 0.1237 0.1671 0.8066
10 Br 0.1237 0.3329 0.3066
11 Br 0.1299 0.7465 0.9905
12 Br 0.1299 0.7535 0.4905
13 Br 0.4708 0.6978 0.8187
14 Br 0.4708 0.8022 0.3187
15 Br 0.5292 0.1978 0.6813
16 Br 0.5292 0.3022 0.1813
17 Br 0.8701 0.2465 0.5095
18 Br 0.8701 0.2535 0.0095
19 Br 0.8763 0.6671 0.6934
20 Br 0.8763 0.8329 0.1934

---

Below is a relaxed structure of Tb4Ce2Sn3O2, with properties calculated at the PBE-GGA level.

Results
Formation energy without anion corrections in eV per atom: -1.475
Symmetry: I4/mmm (139)
Total magnetic moment in μB per formula unit: 2.6

Cell lengths 13.1651, 13.1651, 13.1651 Å; angles 159.42, 159.42, 29.26 degrees
Fractional coordinates of all 11 atoms:
1 Tb 0.0821 0.5821 0.5000
2 Tb 0.4179 0.9179 0.5000
3 Tb 0.5821 0.0821 0.5000
4 Tb 0.9179 0.4179 0.5000
5 Ce 0.1949 0.1949 0.0000
6 Ce 0.8051 0.8051 0.0000
7 Sn 0.3259 0.3259 0.0000
8 Sn 0.5000 0.5000 0.0000
9 Sn 0.6741 0.6741 0.0000
10 O 0.0965 0.0965 0.0000
11 O 0.9035 0.9035 0.0000

---

Below is a relaxed structure of LuInPtRh, with properties calculated at the PBE-GGA level.

Results
ΔH_f (0 K) in meV per atom: -872
Symmetry: F-43m (216)
Total magnetic moment in μB per formula unit: 0.0

Cell lengths 6.6457, 6.6457, 6.6457 Å; angles 90.00, 90.00, 90.00 degrees
Fractional coordinates of all 16 atoms:
1 Lu 0.0000 0.0000 0.0000
2 Lu 0.0000 0.5000 0.5000
3 Lu 0.5000 0.0000 0.5000
4 Lu 0.5000 0.5000 0.0000
5 In 0.0000 0.0000 0.5000
6 In 0.0000 0.5000 0.0000
7 In 0.5000 0.0000 0.0000
8 In 0.5000 0.5000 0.5000
9 Pt 0.2500 0.2500 0.2500
10 Pt 0.2500 0.7500 0.7500
11 Pt 0.7500 0.2500 0.7500
12 Pt 0.7500 0.7500 0.2500
13 Rh 0.2500 0.2500 0.7500
14 Rh 0.2500 0.7500 0.2500
15 Rh 0.7500 0.2500 0.2500
16 Rh 0.7500 0.7500 0.7500

---

Below is a relaxed structure of Y10Ga3Bi3, with properties calculated at the PBE-GGA level.

Results
ΔH_f (0 K) in meV per atom: -641
Symmetry: P-62m (189)
Total magnetic moment in μB per formula unit: 0.0

Cell lengths 8.8749, 8.8749, 6.5797 Å; angles 90.00, 90.00, 120.00 degrees
Fractional coordinates of all 16 atoms:
1 Y 0.0000 0.2387 0.0000
2 Y 0.0000 0.7635 0.5000
3 Y 0.2365 0.2365 0.5000
4 Y 0.2387 0.0000 0.0000
5 Y 0.3333 0.6667 0.2368
6 Y 0.3333 0.6667 0.7632
7 Y 0.6667 0.3333 0.2368
8 Y 0.6667 0.3333 0.7632
9 Y 0.7613 0.7613 0.0000
10 Y 0.7635 0.0000 0.5000
11 Ga 0.0000 0.6068 0.0000
12 Ga 0.3932 0.3932 0.0000
13 Ga 0.6068 0.0000 0.0000
14 Bi 0.0000 0.3987 0.5000
15 Bi 0.3987 0.0000 0.5000
16 Bi 0.6013 0.6013 0.5000

---

Below is a relaxed structure of Er3Pd12Au5, with properties calculated at the PBE-GGA level.

Results
ΔH_f (0 K) in meV per atom: 33
Symmetry: Ia-3d (230)
Total magnetic moment in μB per formula unit: 0.0

Cell lengths 13.4786, 13.4786, 13.4786 Å; angles 109.47, 109.47, 109.47 degrees
Fractional coordinates of all 80 atoms:
1 Er 0.1250 0.2500 0.3750
2 Er 0.1250 0.3750 0.7500
3 Er 0.2500 0.3750 0.1250
4 Er 0.2500 0.8750 0.6250
5 Er 0.3750 0.1250 0.2500
6 Er 0.3750 0.7500 0.1250
7 Er 0.6250 0.2500 0.8750
8 Er 0.6250 0.8750 0.7500
9 Er 0.7500 0.1250 0.3750
10 Er 0.7500 0.6250 0.8750
11 Er 0.8750 0.6250 0.2500
12 Er 0.8750 0.7500 0.6250
13 Pd 0.0687 0.2257 0.1494
14 Pd 0.0687 0.3430 0.9194
15 Pd 0.0763 0.7257 0.6570
16 Pd 0.0763 0.8506 0.4194
17 Pd 0.0806 0.6494 0.4237
18 Pd 0.0806 0.9313 0.6570
19 Pd 0.1494 0.0687 0.2257
20 Pd 0.1494 0.5806 0.9237
21 Pd 0.1570 0.2257 0.5763
22 Pd 0.1570 0.4313 0.5806
23 Pd 0.2257 0.1494 0.0687
24 Pd 0.2257 0.5763 0.1570
25 Pd 0.2743 0.3430 0.9237
26 Pd 0.2743 0.4313 0.3506
27 Pd 0.3430 0.9194 0.0687
28 Pd 0.3430 0.9237 0.2743
29 Pd 0.3506 0.2743 0.4313
30 Pd 0.3506 0.5763 0.9194
31 Pd 0.4194 0.0763 0.8506
32 Pd 0.4194 0.8430 0.5687
33 Pd 0.4237 0.0806 0.6494
34 Pd 0.4237 0.8430 0.7743
35 Pd 0.4313 0.3506 0.2743
36 Pd 0.4313 0.5806 0.1570
37 Pd 0.5687 0.4194 0.8430
38 Pd 0.5687 0.6494 0.7257
39 Pd 0.5763 0.1570 0.2257
40 Pd 0.5763 0.9194 0.3506
41 Pd 0.5806 0.1570 0.4313
42 Pd 0.5806 0.9237 0.1494
43 Pd 0.6494 0.4237 0.0806
44 Pd 0.6494 0.7257 0.5687
45 Pd 0.6570 0.0763 0.7257
46 Pd 0.6570 0.0806 0.9313
47 Pd 0.7257 0.5687 0.6494
48 Pd 0.7257 0.6570 0.0763
49 Pd 0.7743 0.4237 0.8430
50 Pd 0.7743 0.8506 0.9313
51 Pd 0.8430 0.5687 0.4194
52 Pd 0.8430 0.7743 0.4237
53 Pd 0.8506 0.4194 0.0763
54 Pd 0.8506 0.9313 0.7743
55 Pd 0.9194 0.0687 0.3430
56 Pd 0.9194 0.3506 0.5763
57 Pd 0.9237 0.1494 0.5806
58 Pd 0.9237 0.2743 0.3430
59 Pd 0.9313 0.6570 0.0806
60 Pd 0.9313 0.7743 0.8506
61 Au 0.0000 0.0000 0.0000
62 Au 0.0000 0.0000 0.5000
63 Au 0.0000 0.5000 0.0000
64 Au 0.0000 0.5000 0.5000
65 Au 0.1250 0.7500 0.8750
66 Au 0.1250 0.8750 0.2500
67 Au 0.2500 0.1250 0.8750
68 Au 0.2500 0.6250 0.3750
69 Au 0.3750 0.2500 0.6250
70 Au 0.3750 0.6250 0.7500
71 Au 0.5000 0.0000 0.0000
72 Au 0.5000 0.0000 0.5000
73 Au 0.5000 0.5000 0.0000
74 Au 0.5000 0.5000 0.5000
75 Au 0.6250 0.3750 0.2500
76 Au 0.6250 0.7500 0.3750
77 Au 0.7500 0.3750 0.6250
78 Au 0.7500 0.8750 0.1250
79 Au 0.8750 0.1250 0.7500
80 Au 0.8750 0.2500 0.1250

---

Below is a relaxed structure of HfScTi2, with properties calculated at the PBE-GGA level.

Results
E above lowest polymorph in meV per atom: 39
ΔH_f (0 K) in meV per atom: 142
Symmetry: P4/mmm (123)
Total magnetic moment in μB per formula unit: 0.0

Cell lengths 3.5557, 3.5557, 6.3952 Å; angles 90.00, 90.00, 90.00 degrees
Fractional coordinates of all 4 atoms:
1 Hf 0.0000 0.0000 0.0000
2 Sc 0.0000 0.0000 0.5000
3 Ti 0.5000 0.5000 0.2204
4 Ti 0.5000 0.5000 0.7796

---

Below is a relaxed structure of Ac3Cu2Pd9Pt, with properties calculated at the PBE-GGA level.

Results
ΔH_f (0 K) in meV per atom: -400
Symmetry: P-3m1 (164)
Total magnetic moment in μB per formula unit: 0.0

Cell lengths 5.7883, 5.7883, 11.6315 Å; angles 90.00, 90.00, 120.00 degrees
Fractional coordinates of all 15 atoms:
1 Ac 0.0000 0.0000 0.0000
2 Ac 0.3333 0.6667 0.5897
3 Ac 0.6667 0.3333 0.4103
4 Cu 0.3333 0.6667 0.1600
5 Cu 0.6667 0.3333 0.8400
6 Pd 0.0000 0.5000 0.0000
7 Pd 0.1668 0.3336 0.3199
8 Pd 0.1668 0.8332 0.3199
9 Pd 0.3336 0.1668 0.6801
10 Pd 0.5000 0.0000 0.0000
11 Pd 0.5000 0.5000 0.0000
12 Pd 0.6664 0.8332 0.3199
13 Pd 0.8332 0.1668 0.6801
14 Pd 0.8332 0.6664 0.6801
15 Pt 0.0000 0.0000 0.5000